(1)
! Zr2VGa PBE relaxed; values from VASP
&SYSTEM
  ibrav = 0, nat = 12, ntyp = 3
/
ATOMIC_SPECIES
Zr 91.22 Zr.upf
V 50.94 V.upf
Ga 69.72 Ga.upf
CELL_PARAMETERS angstrom
3.184 0.000 0.000
-1.592 2.758 0.000
0.000 0.000 26.887
ATOMIC_POSITIONS angstrom
Zr 0.000 0.000 6.639
Zr 0.000 0.000 20.248
Zr 0.000 1.838 11.286
Zr 0.000 1.838 24.564
Zr 1.592 0.919 2.323
Zr 1.592 0.919 15.602
V 0.000 0.000 13.444
V 0.000 1.838 4.481
V 1.592 0.919 22.406
Ga 0.000 0.000 0.000
Ga 0.000 1.838 17.925
Ga 1.592 0.919 8.962
! - Calculated total energy: -7.27 eV per atom
! - Crystal system: trigonal
! - SG: R-3m (166)

(2)
! ZrVGa PBE relaxed; values from VASP
&SYSTEM
  ibrav = 0, nat = 6, ntyp = 3
/
ATOMIC_SPECIES
Zr 91.22 Zr.upf
V 50.94 V.upf
Ga 69.72 Ga.upf
CELL_PARAMETERS angstrom
3.336 0.000 0.000
-1.665 4.816 0.000
-0.004 -2.336 6.368
ATOMIC_POSITIONS angstrom
Zr 0.003 1.292 0.579
Zr 1.665 1.189 5.789
V 0.000 0.395 3.642
V 1.667 2.085 2.725
Ga 0.003 4.078 1.849
Ga 1.664 -1.598 4.518
! - Crystal system: triclinic
! - SG: P-1 (2)
! - Energy above the most stable polymorph in this dataset: 0.130 eV/atom